No. 1
First-principles (PBE) data for crystalline TaNiPb2 at its relaxed geometry, as listed in Alexandria via LeMat-Bulk.

Unit cell a=4.9684 b=4.9684 c=4.9684 alpha=60.00 beta=60.00 gamma=60.00
Atoms (fractional coordinates):
Pb  0.0000  0.0000  0.0000
Pb  0.2500  0.2500  0.2500
Ni  0.5000  0.5000  0.5000
Ta  0.7500  0.7500  0.7500

Summary:
E above lowest polymorph = 723 meV/atom
ΔE_f = 0.886 eV/atom
M_tot = 0.02 μB/f.u.

=====

No. 2
First-principles (PBE) data for crystalline KZn4Si2 at its relaxed geometry, as listed in Alexandria via LeMat-Bulk.

Unit cell a=4.2305 b=4.2416 c=7.4920 alpha=106.44 beta=90.00 gamma=90.00
Atoms (fractional coordinates):
Zn  0.5000  0.1803  0.3606
Zn  0.0000  0.3126  0.6253
Zn  0.0000  0.6874  0.3747
Zn  0.5000  0.8197  0.6394
Si  0.5000  0.5874  0.1749
Si  0.5000  0.4126  0.8251
K  0.0000  0.0000  0.0000

Summary:
M_tot = 0.00 μB/f.u.
E_form (uncorrected) = 0.051 eV per atom

=====

No. 3
First-principles (PBE) data for crystalline PaInHg2 at its relaxed geometry, as listed in Alexandria via LeMat-Bulk.

Unit cell a=4.6598 b=4.6194 c=4.6194 alpha=90.00 beta=90.00 gamma=90.00
Each line ends with the local moment (μB).
Atoms (fractional coordinates):
Hg  0.0000  0.0000  0.5000  0.02
Hg  0.0000  0.5000  0.0000  0.02
In  0.5000  0.5000  0.5000  0.02
Pa  0.5000  0.0000  0.0000  0.88

Summary:
E above lowest polymorph = 16 meV/atom
ΔE_f = 0.037 eV/atom
M_tot = 1.13 μB/f.u.

=====

No. 4
First-principles (PBE) data for crystalline HfRh3Br at its relaxed geometry, as listed in Alexandria via LeMat-Bulk.

Unit cell a=4.8608 b=4.8608 c=4.8608 alpha=90.00 beta=90.00 gamma=90.00
Each line ends with the local moment (μB).
Atoms (fractional coordinates):
Br  0.5000  0.5000  0.5000  0.07
Rh  0.0000  0.0000  0.5000  0.40
Rh  0.0000  0.5000  0.0000  0.46
Rh  0.5000  0.0000  0.0000  0.25
Hf  0.0000  0.0000  0.0000  -0.07

Summary:
E above lowest polymorph = 274 meV/atom
M_tot = 1.15 μB/f.u.
E_form (uncorrected) = 0.955 eV per atom

=====

No. 5
First-principles (PBE) data for crystalline BaOsRu at its relaxed geometry, as listed in Alexandria via LeMat-Bulk.

Unit cell a=4.4037 b=4.5009 c=8.1420 alpha=88.01 beta=89.99 gamma=90.01
Atoms (fractional coordinates):
Ru  0.7967  0.1796  0.3365
Ru  0.2968  0.0586  0.1994
Os  0.7969  0.6589  0.1999
Os  0.2969  0.5378  0.0716
Ba  0.7969  0.1058  0.8724
Ba  0.2967  0.6090  0.5285

Summary:
E above lowest polymorph = 23 meV/atom
ΔE_f = 0.357 eV/atom
M_tot = 0.00 μB/f.u.

=====

No. 6
First-principles (PBE) data for crystalline DyHo2Tl at its relaxed geometry, as listed in Alexandria via LeMat-Bulk.

Unit cell a=3.6041 b=3.6041 c=9.1005 alpha=90.00 beta=90.00 gamma=90.00
Atoms (fractional coordinates):
Dy  0.5000  0.5000  0.5000
Tl  0.5000  0.5000  0.0000
Ho  0.0000  0.0000  0.7705
Ho  0.0000  0.0000  0.2295

Summary:
E above lowest polymorph = 21 meV/atom
ΔE_f = -0.163 eV/atom
M_tot = 0.00 μB/f.u.

=====

no.,energy (eV per atom)
1,-5.377
2,-2.383
3,-3.172
4,-5.781
5,-7.120
6,-4.194